The following is a SCAN calculation of a PBEsol-optimized structure of InCoI2N, from the Alexandria database.

The calculation puts the magnetic moment at 0.00 μB per cell. As for the formation energy from raw total energies: 0.36 eV per atom. For the density of states at the Fermi level, the calculation gives 2.85 states/eV per cell.

The space group is P4/mmm (No. 123) and the conventional cell measures 5.522, 5.522 and 3.515 Å, with angles of 90.00, 90.00 and 90.00 degrees. The asymmetric unit holds In at (0.000, 0.000, 0.000), Co at (0.500, 0.500, 0.500), I at (0.000, 0.500, 0.500) and N at (0.500, 0.500, 0.000).


The following is a SCAN calculation of a PBEsol-optimized structure of CaTe2Ru, from the Alexandria database.

The calculation puts the magnetic moment at 0.00 μB per cell. As for the formation energy from raw total energies: -0.26 eV per atom. For the density of states at the Fermi level, the calculation gives 2.53 states/eV per cell.

The space group is P4/mmm (No. 123) and the conventional cell measures 4.994, 4.994 and 3.394 Å, with angles of 90.00, 90.00 and 90.00 degrees. The asymmetric unit holds Ca at (0.000, 0.000, 0.000), Te at (0.000, 0.500, 0.500) and Ru at (0.500, 0.500, 0.000).


The following is a SCAN calculation of a PBEsol-optimized structure of MnBe4Re, from the Alexandria database.

The calculation puts the magnetic moment at 8.37 μB per cell. Its formation energy is -0.33 eV per atom. For the density of states at the Fermi level, the calculation gives 9.75 states/eV per cell.

The space group is F-43m (No. 216) and the conventional cell measures 5.981, 5.981 and 5.981 Å, with angles of 90.00, 90.00 and 90.00 degrees. The asymmetric unit holds Mn at (0.000, 0.000, 0.000), Be at (0.124, 0.124, 0.376) and Re at (0.250, 0.250, 0.750).


The following is a SCAN calculation of a PBEsol-optimized structure of LaSiSe2Br, from the Alexandria database.

The calculation puts the magnetic moment at 0.02 μB per cell. As for the formation energy from raw total energies: -0.25 eV per atom. For the density of states at the Fermi level, the calculation gives 2.22 states/eV per cell.

The space group is P4/mmm (No. 123) and the conventional cell measures 5.706, 5.706 and 5.547 Å, with angles of 90.00, 90.00 and 90.00 degrees. The asymmetric unit holds La at (0.000, 0.000, 0.000), Si at (0.500, 0.500, 0.500), Se at (0.000, 0.500, 0.000) and Br at (0.000, 0.000, 0.500).